Density functional theory data (GGA+U) for a relaxed structure of CsVPbF2.

Unit cell a=5.0061 b=5.0061 c=5.6471 alpha=90.00 beta=90.00 gamma=90.00
Closest atoms and distances in Å follow each position.
Fractional positions:
Cs 0.0000 0.0000 0.0000  4 V 3.54, 8 F 3.77
V 0.5000 0.5000 0.0000  2 Pb 2.82
Pb 0.5000 0.5000 0.5000  4 F 2.50
F 0.0000 0.5000 0.5000  2 Pb 2.50
F 0.5000 0.0000 0.5000  2 Pb 2.50

Output
Space-group type: P4/mmm, No. 123
Energy, eV for the cell shown: -19.90